[1]
# BaEuSb, optimized geometry, DFT PBE
# Uncorrected formation energy: 3.7 eV per formula unit
# E: -0.309 Ry per atom
# N(E_F): 3.307 states/eV/atom
data_BaEuSb
_cell_length_a 7.937
_cell_length_b 7.937
_cell_length_c 7.937
_cell_angle_alpha 90.00
_cell_angle_beta 90.00
_cell_angle_gamma 90.00
_symmetry_space_group_name_H-M 'P 1'
_symmetry_Int_Tables_number 1
_symmetry_space_group_name_Hall 'P 1'
loop_
_atom_site_label
_atom_site_fract_x
_atom_site_fract_y
_atom_site_fract_z
_atom_site_occupancy
Ba1 0.000 0.000 0.000 1
Ba2 0.000 0.500 0.500 1
Ba3 0.500 0.000 0.500 1
Ba4 0.500 0.500 0.000 1
Eu1 0.000 0.000 0.500 1
Eu2 0.000 0.500 0.000 1
Eu3 0.500 0.000 0.000 1
Eu4 0.500 0.500 0.500 1
Sb1 0.250 0.250 0.250 1
Sb2 0.250 0.750 0.750 1
Sb3 0.750 0.250 0.750 1
Sb4 0.750 0.750 0.250 1

[2]
# BaEuSb, optimized geometry, DFT PBE
# Uncorrected formation energy: -2.1 eV per formula unit
# E: -0.450 Ry per atom
# N(E_F): 0.575 states/eV/atom
data_BaEuSb
_cell_length_a 4.352
_cell_length_b 4.352
_cell_length_c 12.358
_cell_angle_alpha 90.00
_cell_angle_beta 90.00
_cell_angle_gamma 90.00
_symmetry_space_group_name_H-M 'P 1'
_symmetry_Int_Tables_number 1
_symmetry_space_group_name_Hall 'P 1'
loop_
_atom_site_label
_atom_site_fract_x
_atom_site_fract_y
_atom_site_fract_z
_atom_site_occupancy
Ba1 0.000 0.000 0.000 1
Ba2 0.500 0.500 0.500 1
Eu1 0.000 0.000 0.730 1
Eu2 0.500 0.500 0.230 1
Sb1 0.000 0.000 0.331 1
Sb2 0.500 0.500 0.831 1

[3]
# BaEu2Sb, optimized geometry, DFT PBE
# Uncorrected formation energy: -2.0 eV per formula unit
# E: -0.525 Ry per atom
# N(E_F): 1.021 states/eV/atom
data_BaEu2Sb
_cell_length_a 5.241
_cell_length_b 5.241
_cell_length_c 5.275
_cell_angle_alpha 90.00
_cell_angle_beta 90.00
_cell_angle_gamma 90.00
_symmetry_space_group_name_H-M 'P 1'
_symmetry_Int_Tables_number 1
_symmetry_space_group_name_Hall 'P 1'
loop_
_atom_site_label
_atom_site_fract_x
_atom_site_fract_y
_atom_site_fract_z
_atom_site_occupancy
Ba1 0.000 0.000 0.000 1
Eu1 0.000 0.500 0.500 1
Eu2 0.500 0.000 0.500 1
Sb1 0.500 0.500 0.000 1

[4]
# BaEuSb2, optimized geometry, DFT PBE
# Uncorrected formation energy: -3.2 eV per formula unit
# E: -0.435 Ry per atom
# N(E_F): 2.446 states/eV/atom
data_BaEuSb2
_cell_length_a 5.504
_cell_length_b 5.504
_cell_length_c 4.536
_cell_angle_alpha 90.00
_cell_angle_beta 90.00
_cell_angle_gamma 90.00
_symmetry_space_group_name_H-M 'P 1'
_symmetry_Int_Tables_number 1
_symmetry_space_group_name_Hall 'P 1'
loop_
_atom_site_label
_atom_site_fract_x
_atom_site_fract_y
_atom_site_fract_z
_atom_site_occupancy
Ba1 0.000 0.000 0.000 1
Eu1 0.500 0.500 0.000 1
Sb1 0.000 0.500 0.500 1
Sb2 0.500 0.000 0.500 1